No. 1
A plane-wave DFT calculation with PBE was carried out for DyPaGaSn after structural relaxation.

Unit cell a=5.207 b=5.207 c=5.207 alpha=60.00 beta=60.00 gamma=60.00
Element x y z (fractional)
Dy 0.000 0.000 0.000
Pa 0.500 0.500 0.500
Ga 0.250 0.250 0.250
Sn 0.750 0.750 0.750

The formation energy comes out at -5.98 kcal/mol of atoms. The space group is F-43m (216). The total DFT energy (no corrections) is -22.16 eV for the cell shown.

No. 2
A plane-wave DFT calculation with PBE was carried out for DyPaGaTc after structural relaxation.

Unit cell a=4.948 b=4.948 c=4.948 alpha=60.00 beta=60.00 gamma=60.00
Element x y z (fractional)
Dy 0.000 0.000 0.000
Pa 0.500 0.500 0.500
Ga 0.250 0.250 0.250
Tc 0.750 0.750 0.750

The formation energy comes out at -3.88 kcal/mol of atoms. The space group is F-43m (216). The total DFT energy (no corrections) is -28.16 eV for the cell shown.